# 1
# La2CdPd6 | Alexandria via LeMat-Bulk | GGA-PBE | relaxed
# E in eV/atom: -5.34
data_La2CdPd6
_space_group_name_H-M_alt 'P -3 m 1'
_space_group_IT_number 164
_space_group_name_Hall '-P 3 2"'
_cell_length_a 5.8242
_cell_length_b 5.8242
_cell_length_c 6.2344
_cell_angle_alpha 90.00
_cell_angle_beta 90.00
_cell_angle_gamma 120.00
loop_
_atom_site_label
_atom_site_fract_x
_atom_site_fract_y
_atom_site_fract_z
La1 0.3333 0.6667 0.1985
Cd1 0.0000 0.0000 0.0000
Pd1 0.1750 0.3500 0.6751



# 2
# La6Cd2Pd | Alexandria via LeMat-Bulk | GGA-PBE | relaxed
# E in eV/atom: -4.31
# ΔE to the lowest computed polymorph in meV per atom: 83
data_La6Cd2Pd
_space_group_name_H-M_alt 'P 1 21/c 1'
_space_group_IT_number 14
_cell_length_a 6.442
_cell_length_b 9.210
_cell_length_c 10.881
_cell_angle_alpha 90.00
_cell_angle_beta 116.86
_cell_angle_gamma 90.00
loop_
_space_group_symop_operation_xyz
'x,y,z'
'-x,-y,-z'
'-x,y+1/2,-z+1/2'
'x,-y+1/2,z+1/2'
loop_
_atom_site_label
_atom_site_fract_x
_atom_site_fract_y
_atom_site_fract_z
La1 0.064 0.161 0.477
La2 0.359 0.693 0.454
La3 0.381 0.033 0.271
Cd1 0.141 0.106 0.781
Pd1 0.000 0.000 0.000



# 3
# LaCdPd | Alexandria via LeMat-Bulk | GGA-PBE | relaxed
# E in eV/atom: -4.35
data_LaCdPd
_space_group_name_H-M_alt 'P m m a'
_space_group_IT_number 51
_cell_length_a 13.645
_cell_length_b 4.107
_cell_length_c 7.864
_cell_angle_alpha 90.00
_cell_angle_beta 90.00
_cell_angle_gamma 90.00
loop_
_space_group_symop_operation_xyz
'x,y,z'
'-x,-y,-z'
'-x+1/2,-y,z'
'x+1/2,y,-z'
'x+1/2,-y,-z'
'-x+1/2,y,z'
'-x,y,-z'
'x,-y,z'
loop_
_atom_site_label
_atom_site_fract_x
_atom_site_fract_y
_atom_site_fract_z
La1 0.045 0.000 0.237
La2 0.250 0.000 0.848
Cd1 0.120 0.500 0.566
Cd2 0.250 0.500 0.203
Pd1 0.097 0.500 0.939
Pd2 0.250 0.000 0.449



# 4
# La3CdPd3 | Alexandria via LeMat-Bulk | GGA-PBE | relaxed
# E in eV/atom: -5.05
data_La3CdPd3
_space_group_name_H-M_alt 'P 63/m'
_space_group_IT_number 176
_space_group_name_Hall '-P 6c'
_cell_length_a 9.0668
_cell_length_b 9.0668
_cell_length_c 5.8329
_cell_angle_alpha 90.00
_cell_angle_beta 90.00
_cell_angle_gamma 120.00
loop_
_atom_site_label
_atom_site_fract_x
_atom_site_fract_y
_atom_site_fract_z
La1 0.0461 0.6888 0.2500
Cd1 0.3333 0.6667 0.7500
Pd1 0.0371 0.6839 0.7500



What ΔE_f values result from the calculations? In sequence: -0.686 -0.246 -0.674 -0.578 eV per atom.